1 | This record from Alexandria describes a geometry-optimized ErThCdTc structure. The functional is GGA-PBE.

POSCAR file:
```
ErThCdTc
1.0
0.000 3.628 3.628
3.628 0.000 3.628
3.628 3.628 0.000
Er Th Cd Tc
1 1 1 1
direct
0.000 0.000 0.000
0.500 0.500 0.500
0.750 0.750 0.750
0.250 0.250 0.250
```

Values from the calculation:
Total magnetic moment in Bohr magnetons per cell: 0.00
Crystal system: cubic
Density in Mg/m³: 10.60


2 | This record from Alexandria describes a geometry-optimized ErThCdTc structure. The functional is GGA-PBE.

POSCAR file:
```
ErThCdTc
1.0
3.496 0.000 0.000
0.000 3.496 0.000
0.000 0.000 8.009
Er Th Cd Tc
1 1 1 1
direct
0.000 0.000 0.000
0.000 0.000 0.422
0.500 0.500 0.733
0.500 0.500 0.212
```

Values from the calculation:
Total magnetic moment in Bohr magnetons per cell: 0.00
Crystal system: tetragonal
Density in Mg/m³: 10.34


Verdict on stability: 2 comes out on top.


1 | This record from Alexandria describes a geometry-optimized ErCdTe2 structure. The functional is GGA-PBE.

POSCAR file:
```
ErCdTe2
1.0
2.158 1.246 7.787
-2.158 1.246 7.787
0.000 -2.492 7.787
Er Cd Te
1 1 2
direct
0.000 0.000 0.000
0.834 0.834 0.834
0.412 0.412 0.412
0.591 0.591 0.591
```

Values from the calculation:
Total magnetic moment in Bohr magnetons per cell: 0.00
Crystal system: trigonal
Density in Mg/m³: 7.07


2 | This record from Alexandria describes a geometry-optimized ErCdTe2 structure. The functional is GGA-PBE.

POSCAR file:
```
ErCdTe2
1.0
2.186 1.262 9.210
-2.186 1.262 9.210
0.000 -2.524 9.210
Er Cd Te
1 1 2
direct
0.000 0.000 0.000
0.500 0.500 0.500
0.395 0.395 0.395
0.605 0.605 0.605
```

Values from the calculation:
Total magnetic moment in Bohr magnetons per cell: 0.00
Crystal system: trigonal
Density in Mg/m³: 5.83


Verdict on stability: 1 comes out on top.


1 | This record from Alexandria describes a geometry-optimized ErTmThCd structure. The functional is GGA-PBE.

POSCAR file:
```
ErTmThCd
1.0
0.000 3.853 3.853
3.853 0.000 3.853
3.853 3.853 0.000
Er Tm Th Cd
1 1 1 1
direct
0.000 0.000 0.000
0.250 0.250 0.250
0.500 0.500 0.500
0.750 0.750 0.750
```

Values from the calculation:
Total magnetic moment in Bohr magnetons per cell: 0.39
Crystal system: cubic
Density in Mg/m³: 9.88


2 | This record from Alexandria describes a geometry-optimized ErTmThCd structure. The functional is GGA-PBE.

POSCAR file:
```
ErTmThCd
1.0
3.588 0.000 0.000
0.000 3.588 0.000
0.000 0.000 8.777
Er Tm Th Cd
1 1 1 1
direct
0.000 0.000 0.000
0.000 0.000 0.543
0.500 0.500 0.272
0.500 0.500 0.770
```

Values from the calculation:
Total magnetic moment in Bohr magnetons per cell: 0.00
Crystal system: tetragonal
Density in Mg/m³: 10.00


Verdict on stability: 2 comes out on top.


1 | This record from Alexandria describes a geometry-optimized ErTl2Cd structure. The functional is GGA-PBE.

POSCAR file:
```
ErTl2Cd
1.0
3.691 0.000 0.000
0.000 3.691 0.000
0.000 0.000 7.724
Er Tl Cd
1 2 1
direct
0.000 0.000 0.000
0.500 0.500 0.257
0.500 0.500 0.743
0.000 0.000 0.500
```

Values from the calculation:
Total magnetic moment in Bohr magnetons per cell: 0.28
Crystal system: tetragonal
Density in Mg/m³: 10.86


2 | This record from Alexandria describes a geometry-optimized ErTl2Cd structure. The functional is GGA-PBE.

POSCAR file:
```
ErTl2Cd
1.0
2.186 1.262 7.002
-2.186 1.262 7.002
0.000 -2.524 7.002
Er Tl Cd
1 2 1
direct
0.000 0.000 0.000
0.421 0.421 0.421
0.575 0.575 0.575
0.831 0.831 0.831
```

Values from the calculation:
Total magnetic moment in Bohr magnetons per cell: 0.00
Crystal system: trigonal
Density in Mg/m³: 9.86


3 | This record from Alexandria describes a geometry-optimized ErTl2Cd structure. The functional is GGA-PBE.

POSCAR file:
```
ErTl2Cd
1.0
1.735 1.002 11.323
-1.735 1.002 11.323
0.000 -2.004 11.323
Er Tl Cd
1 2 1
direct
0.000 0.000 0.000
0.092 0.092 0.092
0.908 0.908 0.908
0.500 0.500 0.500
```

Values from the calculation:
Total magnetic moment in Bohr magnetons per cell: 0.00
Crystal system: trigonal
Density in Mg/m³: 9.68


Verdict on stability: 1 comes out on top.


1 | This record from Alexandria describes a geometry-optimized ErTl2Cd structure. The functional is GGA-PBE.

POSCAR file:
```
ErTl2Cd
1.0
4.738 0.000 0.000
0.000 4.738 0.000
0.000 0.000 4.540
Er Tl Cd
1 2 1
direct
0.000 0.000 0.000
0.000 0.500 0.500
0.500 0.000 0.500
0.500 0.500 0.000
```

Values from the calculation:
Total magnetic moment in Bohr magnetons per cell: 0.00
Crystal system: tetragonal
Density in Mg/m³: 11.21


2 | This record from Alexandria describes a geometry-optimized ErTl2Cd structure. The functional is GGA-PBE.

POSCAR file:
```
ErTl2Cd
1.0
0.000 3.737 3.737
3.737 0.000 3.737
3.737 3.737 0.000
Er Tl Cd
1 2 1
direct
0.000 0.000 0.000
0.250 0.250 0.250
0.750 0.750 0.750
0.500 0.500 0.500
```

Values from the calculation:
Total magnetic moment in Bohr magnetons per cell: 0.00
Crystal system: cubic
Density in Mg/m³: 10.96


Verdict on stability: 1 comes out on top.


1 | This record from Alexandria describes a geometry-optimized Er3TlCd structure. The functional is GGA-PBE.

POSCAR file:
```
Er3TlCd
1.0
5.756 -3.147 0.000
5.756 3.147 0.000
-4.780 0.000 15.683
Er Tl Cd
12 4 4
direct
0.087 0.334 0.804
0.115 0.399 0.606
0.203 0.768 0.940
0.232 0.797 0.560
0.334 0.087 0.304
0.399 0.115 0.106
0.601 0.885 0.894
0.666 0.913 0.696
0.768 0.203 0.440
0.797 0.232 0.060
0.885 0.601 0.394
0.913 0.666 0.196
0.000 0.500 0.000
0.230 0.770 0.750
0.500 0.000 0.500
0.770 0.230 0.250
0.306 0.645 0.353
0.355 0.694 0.147
0.645 0.306 0.853
0.694 0.355 0.647
```

Values from the calculation:
Total magnetic moment in Bohr magnetons per cell: 0.01
Crystal system: monoclinic
Density in Mg/m³: 9.57


2 | This record from Alexandria describes a geometry-optimized Er3TlCd structure. The functional is GGA-PBE.

POSCAR file:
```
Er3TlCd
1.0
2.532 -10.626 0.000
2.532 10.626 0.000
0.000 0.000 5.064
Er Tl Cd
6 2 2
direct
0.056 0.944 0.750
0.250 0.750 0.750
0.442 0.558 0.750
0.558 0.442 0.250
0.750 0.250 0.250
0.944 0.056 0.250
0.345 0.655 0.250
0.655 0.345 0.750
0.153 0.847 0.250
0.847 0.153 0.750
```

Values from the calculation:
Total magnetic moment in Bohr magnetons per cell: 0.74
Crystal system: orthorhombic
Density in Mg/m³: 9.97


Verdict on stability: 2 comes out on top.


1 | This record from Alexandria describes a geometry-optimized Er6Tl5Cd structure. The functional is GGA-PBE.

POSCAR file:
```
Er6Tl5Cd
1.0
3.202 -5.569 0.000
3.202 5.569 0.000
-2.167 0.000 9.549
Er Tl Cd
6 5 1
direct
0.082 0.414 0.748
0.248 0.248 0.250
0.414 0.082 0.748
0.586 0.918 0.252
0.752 0.752 0.750
0.918 0.586 0.252
0.168 0.832 0.000
0.334 0.666 0.500
0.500 0.500 0.000
0.666 0.334 0.500
0.832 0.168 0.000
0.000 0.000 0.500
```

Values from the calculation:
Total magnetic moment in Bohr magnetons per cell: 0.00
Crystal system: monoclinic
Density in Mg/m³: 10.42


2 | This record from Alexandria describes a geometry-optimized Er6Tl5Cd structure. The functional is GGA-PBE.

POSCAR file:
```
Er6Tl5Cd
1.0
2.666 -8.017 0.000
2.666 8.017 0.000
0.000 0.000 7.433
Er Tl Cd
6 5 1
direct
0.000 0.000 0.250
0.000 0.000 0.750
0.334 0.666 0.248
0.334 0.666 0.752
0.666 0.334 0.248
0.666 0.334 0.752
0.163 0.837 0.000
0.167 0.833 0.500
0.500 0.500 0.500
0.833 0.167 0.500
0.837 0.163 0.000
0.500 0.500 0.000
```

Values from the calculation:
Total magnetic moment in Bohr magnetons per cell: 0.00
Crystal system: orthorhombic
Density in Mg/m³: 11.17


Verdict on stability: 2 comes out on top.


1 | This record from Alexandria describes a geometry-optimized Er4TlCd structure. The functional is GGA-PBE.

POSCAR file:
```
Er4TlCd
1.0
3.548 0.000 0.000
0.000 3.548 0.000
0.000 0.000 13.297
Er Tl Cd
4 1 1
direct
0.000 0.000 0.154
0.000 0.000 0.846
0.500 0.500 0.338
0.500 0.500 0.662
0.000 0.000 0.500
0.500 0.500 0.000
```

Values from the calculation:
Total magnetic moment in Bohr magnetons per cell: 0.00
Crystal system: tetragonal
Density in Mg/m³: 9.78


2 | This record from Alexandria describes a geometry-optimized Er4TlCd structure. The functional is GGA-PBE.

POSCAR file:
```
Er4TlCd
1.0
5.104 0.000 0.000
0.000 5.104 0.000
0.000 0.000 7.282
Er Tl Cd
4 1 1
direct
0.000 0.500 0.243
0.000 0.500 0.757
0.500 0.000 0.243
0.500 0.000 0.757
0.000 0.000 0.500
0.500 0.500 0.000
```

Values from the calculation:
Total magnetic moment in Bohr magnetons per cell: 0.00
Crystal system: tetragonal
Density in Mg/m³: 8.63


Verdict on stability: 1 comes out on top.


1 | This record from Alexandria describes a geometry-optimized ErTlCd2 structure. The functional is GGA-PBE.

POSCAR file:
```
ErTlCd2
1.0
0.000 3.682 3.682
3.682 0.000 3.682
3.682 3.682 0.000
Er Tl Cd
1 1 2
direct
0.000 0.000 0.000
0.500 0.500 0.500
0.250 0.250 0.250
0.750 0.750 0.750
```

Values from the calculation:
Total magnetic moment in Bohr magnetons per cell: 0.00
Crystal system: cubic
Density in Mg/m³: 9.92


2 | This record from Alexandria describes a geometry-optimized ErTlCd2 structure. The functional is GGA-PBE.

POSCAR file:
```
ErTlCd2
1.0
3.869 0.000 0.000
0.000 3.869 0.000
0.000 0.000 6.891
Er Tl Cd
1 1 2
direct
0.000 0.000 0.000
0.000 0.000 0.500
0.500 0.500 0.243
0.500 0.500 0.757
```

Values from the calculation:
Total magnetic moment in Bohr magnetons per cell: 0.00
Crystal system: tetragonal
Density in Mg/m³: 9.60


3 | This record from Alexandria describes a geometry-optimized ErTlCd2 structure. The functional is GGA-PBE.

POSCAR file:
```
ErTlCd2
1.0
4.493 0.000 0.000
0.000 4.493 0.000
0.000 0.000 4.862
Er Tl Cd
1 1 2
direct
0.000 0.000 0.000
0.500 0.500 0.000
0.000 0.500 0.500
0.500 0.000 0.500
```

Values from the calculation:
Total magnetic moment in Bohr magnetons per cell: 0.00
Crystal system: tetragonal
Density in Mg/m³: 10.09


Verdict on stability: 3 comes out on top.


1 | This record from Alexandria describes a geometry-optimized ErTlCd4 structure. The functional is GGA-PBE.

POSCAR file:
```
ErTlCd4
1.0
0.000 4.215 4.215
4.215 0.000 4.215
4.215 4.215 0.000
Er Tl Cd
1 1 4
direct
0.000 0.000 0.000
0.750 0.750 0.750
0.375 0.375 0.375
0.375 0.375 0.876
0.375 0.876 0.375
0.876 0.375 0.375
```

Values from the calculation:
Total magnetic moment in Bohr magnetons per cell: 0.00
Crystal system: cubic
Density in Mg/m³: 9.11


2 | This record from Alexandria describes a geometry-optimized ErTlCd4 structure. The functional is GGA-PBE.

POSCAR file:
```
ErTlCd4
1.0
3.194 -9.152 0.000
3.194 9.152 0.000
-0.273 0.000 5.083
Er Tl Cd
2 2 8
direct
0.204 0.796 0.750
0.796 0.204 0.250
0.306 0.694 0.250
0.694 0.306 0.750
0.114 0.374 0.761
0.205 0.286 0.270
0.286 0.205 0.770
0.374 0.114 0.261
0.626 0.886 0.739
0.714 0.795 0.230
0.795 0.714 0.730
0.886 0.626 0.239
```

Values from the calculation:
Total magnetic moment in Bohr magnetons per cell: 0.00
Crystal system: monoclinic
Density in Mg/m³: 9.18


Verdict on stability: 2 comes out on top.


1 | This record from Alexandria describes a geometry-optimized Er3Tl3Cd2 structure. The functional is GGA-PBE.

POSCAR file:
```
Er3Tl3Cd2
1.0
8.294 0.000 0.000
-4.147 7.183 0.000
0.000 0.000 3.564
Er Tl Cd
3 3 2
direct
0.000 0.629 0.000
0.371 0.371 0.000
0.629 0.000 0.000
0.000 0.253 0.500
0.253 0.000 0.500
0.747 0.747 0.500
0.333 0.667 0.500
0.667 0.333 0.500
```

Values from the calculation:
Total magnetic moment in Bohr magnetons per cell: 0.00
Crystal system: hexagonal
Density in Mg/m³: 10.48


2 | This record from Alexandria describes a geometry-optimized Er3Tl3Cd2 structure. The functional is GGA-PBE.

POSCAR file:
```
Er3Tl3Cd2
1.0
8.958 0.000 0.000
-4.479 7.758 0.000
0.000 0.000 6.082
Er Tl Cd
6 6 4
direct
0.000 0.242 0.250
0.000 0.758 0.750
0.242 0.000 0.250
0.242 0.242 0.750
0.758 0.000 0.750
0.758 0.758 0.250
0.000 0.394 0.750
0.000 0.606 0.250
0.394 0.000 0.750
0.394 0.394 0.250
0.606 0.000 0.250
0.606 0.606 0.750
0.333 0.667 0.000
0.333 0.667 0.500
0.667 0.333 0.000
0.667 0.333 0.500
```

Values from the calculation:
Total magnetic moment in Bohr magnetons per cell: 0.00
Crystal system: hexagonal
Density in Mg/m³: 10.53


Verdict on stability: 1 comes out on top.


1 | This record from Alexandria describes a geometry-optimized Er3TmCd structure. The functional is GGA-PBE.

POSCAR file:
```
Er3TmCd
1.0
3.494 0.000 0.000
0.000 9.006 0.000
-0.127 0.000 10.086
Er Tm Cd
6 2 2
direct
0.009 0.250 0.425
0.484 0.560 0.334
0.484 0.940 0.334
0.516 0.060 0.666
0.516 0.440 0.666
0.991 0.750 0.575
0.464 0.750 0.872
0.536 0.250 0.128
0.027 0.250 0.867
0.973 0.750 0.133
```

Values from the calculation:
Total magnetic moment in Bohr magnetons per cell: 0.00
Crystal system: monoclinic
Density in Mg/m³: 8.20


2 | This record from Alexandria describes a geometry-optimized Er3TmCd structure. The functional is GGA-PBE.

POSCAR file:
```
Er3TmCd
1.0
6.388 -1.793 0.000
6.388 1.793 0.000
-0.936 0.000 12.507
Er Tm Cd
6 2 2
direct
0.034 0.034 0.189
0.146 0.146 0.444
0.365 0.365 0.020
0.635 0.635 0.980
0.854 0.854 0.556
0.966 0.966 0.811
0.233 0.233 0.757
0.767 0.767 0.243
0.438 0.438 0.373
0.562 0.562 0.627
```

Values from the calculation:
Total magnetic moment in Bohr magnetons per cell: 0.46
Crystal system: monoclinic
Density in Mg/m³: 9.08


Verdict on stability: 2 comes out on top.